(1)
## K2YMn (meta-GGA SCAN)

Data for a crystal of K2YMn relaxed with PBEsol.

The structure in POSCAR format:
```
K2YMn
1.0
3.5532 0.0322 0.0000
-0.3140 5.6176 0.0000
-1.6196 -2.8249 6.6636
K Mn Y
2 1 1
Direct
0.0000 0.0000 0.5000
0.5000 0.5000 0.5000
0.5000 0.0000 0.0000
0.0000 0.5000 0.0000
```

Properties
Space group ... C2/m
ΔH_f (0 K) ... 235.6 kJ/mol of formula units

***

(2)
## KZr4Mn (meta-GGA SCAN)

Data for a crystal of KZr4Mn relaxed with PBEsol.

The structure in POSCAR format:
```
KZr4Mn
1.0
5.8855 0.0000 0.0000
2.9427 5.0970 0.0000
2.9427 1.6990 4.8055
K Mn Zr
1 1 4
Direct
0.7500 0.7500 0.7500
0.0000 0.0000 0.0000
0.3719 0.3719 0.3719
0.3719 0.3719 0.8844
0.8844 0.3719 0.3719
0.3719 0.8844 0.3719
```

Properties
Space group ... F-43m
ΔH_f (0 K) ... 453.8 kJ/mol of formula units

***

Here are the calculated E_tot numbers, same order: -60.3 -144.7 (eV per cell).